A geometry-optimized K2LiSe structure, computed with PBE.

POSCAR file:
```
K2LiSe
1.0
-2.489 2.489 5.124
2.489 -2.489 5.124
2.489 2.489 -5.124
K Li Se
2 1 1
Direct
0.000 0.000 0.000
0.750 0.250 0.500
0.250 0.750 0.500
0.500 0.500 0.000
```

Computed properties:
Uncorrected formation energy, meV per atom: -450
SG: I-4m2

---

A geometry-optimized Tl3Rh5Cl12 structure, computed with PBE.

POSCAR file:
```
Tl3Rh5Cl12
1.0
-8.065 8.065 8.065
8.065 -8.065 8.065
8.065 8.065 -8.065
Tl Rh Cl
12 20 48
Direct
0.125 0.250 0.375
0.125 0.375 0.750
0.250 0.375 0.125
0.250 0.875 0.625
0.375 0.125 0.250
0.375 0.750 0.125
0.625 0.250 0.875
0.625 0.875 0.750
0.750 0.125 0.375
0.750 0.625 0.875
0.875 0.625 0.250
0.875 0.750 0.625
0.000 0.000 0.000
0.000 0.000 0.500
0.000 0.500 0.000
0.000 0.500 0.500
0.125 0.750 0.875
0.125 0.875 0.250
0.250 0.125 0.875
0.250 0.625 0.375
0.375 0.250 0.625
0.375 0.625 0.750
0.500 0.000 0.000
0.500 0.000 0.500
0.500 0.500 0.000
0.500 0.500 0.500
0.625 0.375 0.250
0.625 0.750 0.375
0.750 0.375 0.625
0.750 0.875 0.125
0.875 0.125 0.750
0.875 0.250 0.125
0.011 0.186 0.104
0.011 0.325 0.907
0.082 0.686 0.675
0.082 0.896 0.407
0.093 0.604 0.418
0.093 0.989 0.675
0.104 0.011 0.186
0.104 0.593 0.918
0.175 0.186 0.582
0.175 0.489 0.593
0.186 0.104 0.011
0.186 0.582 0.175
0.314 0.325 0.918
0.314 0.489 0.396
0.325 0.907 0.011
0.325 0.918 0.314
0.396 0.314 0.489
0.396 0.582 0.907
0.407 0.082 0.896
0.407 0.825 0.511
0.418 0.093 0.604
0.418 0.825 0.814
0.489 0.396 0.314
0.489 0.593 0.175
0.511 0.407 0.825
0.511 0.604 0.686
0.582 0.175 0.186
0.582 0.907 0.396
0.593 0.175 0.489
0.593 0.918 0.104
0.604 0.418 0.093
0.604 0.686 0.511
0.675 0.082 0.686
0.675 0.093 0.989
0.686 0.511 0.604
0.686 0.675 0.082
0.814 0.418 0.825
0.814 0.896 0.989
0.825 0.511 0.407
0.825 0.814 0.418
0.896 0.407 0.082
0.896 0.989 0.814
0.907 0.011 0.325
0.907 0.396 0.582
0.918 0.104 0.593
0.918 0.314 0.325
0.989 0.675 0.093
0.989 0.814 0.896
```

Computed properties:
Uncorrected formation energy, meV per atom: -416
SG: Ia-3d

---

A geometry-optimized Te2OsIO structure, computed with PBE.

POSCAR file:
```
Te2OsIO
1.0
5.097 0.000 0.000
0.000 5.097 0.000
0.000 0.000 5.578
Te Os I O
2 1 1 1
Direct
0.000 0.500 0.000
0.500 0.000 0.000
0.000 0.000 0.000
0.000 0.000 0.500
0.500 0.500 0.500
```

Computed properties:
Uncorrected formation energy, meV per atom: 1139
SG: P4/mmm

---

A geometry-optimized Dy2TiCl structure, computed with PBE.

POSCAR file:
```
Dy2TiCl
1.0
1.651 0.953 10.408
-1.651 0.953 10.408
0.000 -1.907 10.408
Dy Ti Cl
2 1 1
Direct
0.094 0.094 0.094
0.906 0.906 0.906
0.000 0.000 0.000
0.500 0.500 0.500
```

Computed properties:
Uncorrected formation energy, meV per atom: -192
SG: R-3m

---

A geometry-optimized ZnCd9Ga2 structure, computed with PBE.

POSCAR file:
```
ZnCd9Ga2
1.0
4.430 0.000 0.000
0.000 4.430 0.000
0.000 0.000 13.141
Zn Cd Ga
1 9 2
Direct
0.000 0.000 0.000
0.000 0.500 0.162
0.000 0.500 0.500
0.000 0.500 0.838
0.500 0.000 0.162
0.500 0.000 0.500
0.500 0.000 0.838
0.500 0.500 0.000
0.500 0.500 0.331
0.500 0.500 0.669
0.000 0.000 0.330
0.000 0.000 0.670
```

Computed properties:
SG: P4/mmm
DFT formation energy, meV/atom: 57

---

A geometry-optimized Pm8P6Br structure, computed with PBE.

POSCAR file:
```
Pm8P6Br
1.0
10.917 0.000 0.000
-5.458 9.454 0.000
0.000 0.000 4.233
Pm P Br
8 6 1
Direct
0.036 0.668 0.255
0.332 0.368 0.255
0.333 0.667 0.748
0.368 0.036 0.745
0.632 0.964 0.255
0.667 0.333 0.252
0.668 0.632 0.745
0.964 0.332 0.745
0.142 0.476 0.246
0.335 0.858 0.246
0.476 0.335 0.754
0.524 0.665 0.246
0.665 0.142 0.754
0.858 0.524 0.754
0.000 0.000 0.500
```

Computed properties:
Uncorrected formation energy, meV per atom: -1283
SG: P-3

---

A geometry-optimized Li2BeRe structure, computed with PBE.

POSCAR file:
```
Li2BeRe
1.0
3.302 0.000 0.000
0.000 3.302 0.000
0.000 0.000 4.401
Li Be Re
2 1 1
Direct
0.000 0.500 0.000
0.500 0.000 0.000
0.000 0.000 0.500
0.500 0.500 0.500
```

Computed properties:
SG: P4/mmm
DFT formation energy, meV/atom: 316

---

A geometry-optimized KLiMg6O7 structure, computed with PBE.

POSCAR file:
```
KLiMg6O7
1.0
4.578 0.000 0.000
0.000 4.578 0.000
0.000 0.000 8.184
K Li Mg O
1 1 6 7
Direct
0.000 0.000 0.000
0.000 0.000 0.491
0.000 0.500 0.221
0.000 0.500 0.718
0.500 0.000 0.221
0.500 0.000 0.718
0.500 0.500 0.470
0.500 0.500 0.966
0.000 0.000 0.710
0.000 0.500 0.455
0.000 0.500 0.981
0.500 0.000 0.455
0.500 0.000 0.981
0.500 0.500 0.218
0.500 0.500 0.717
```

Computed properties:
Uncorrected formation energy, meV per atom: -2052
SG: P4mm

---

A geometry-optimized BaCdCu structure, computed with PBE.

POSCAR file:
```
BaCdCu
1.0
0.000 3.642 3.642
3.642 0.000 3.642
3.642 3.642 0.000
Ba Cd Cu
1 1 1
Direct
0.000 0.000 0.000
0.500 0.500 0.500
0.250 0.250 0.250
```

Computed properties:
SG: F-43m
DFT formation energy, meV/atom: -5

---

A geometry-optimized Li2Ce3NpN6 structure, computed with PBE.

POSCAR file:
```
Li2Ce3NpN6
1.0
3.028 -5.297 0.000
3.028 5.297 0.000
-1.880 0.000 5.553
Li Ce Np N
2 3 1 6
Direct
0.160 0.840 0.000
0.840 0.160 0.000
0.000 0.000 0.500
0.327 0.673 0.500
0.673 0.327 0.500
0.500 0.500 0.000
0.117 0.410 0.740
0.296 0.296 0.255
0.410 0.117 0.740
0.590 0.883 0.260
0.704 0.704 0.745
0.883 0.590 0.260
```

Computed properties:
Uncorrected formation energy, meV per atom: -1094
SG: C2/m